Entry 1:
Here is a relaxed structure of Ce3AlGa from the Alexandria database. Energies are from GGA-PBE.

Summary:
energy of formation from the pure elements = -47 meV per atom
total energy = -49.61 eV for the cell shown

abc: 8.5808 8.5808 5.1438
angles: 90.00 90.00 135.94
With the nearest neighbours (Å) after each atom.
Atoms (fractional coordinates):
Ce 0.0000 0.0000 0.0000  2 Ce 2.57
Ce 0.0000 0.0000 0.5000  2 Ce 2.57
Ce 0.1303 0.4373 0.7500  1 Ce 2.78, 1 Ga 3.06
Ce 0.4373 0.1303 0.2500  1 Ce 2.78, 1 Ga 3.06
Ce 0.5627 0.8697 0.7500  1 Ce 2.78, 1 Ga 3.06
Ce 0.8697 0.5627 0.2500  1 Ce 2.78, 1 Ga 3.06
Al 0.4640 0.5360 0.2500  2 Al 2.82
Al 0.5360 0.4640 0.7500  2 Al 2.82
Ga 0.1755 0.8245 0.7500  8 Ce 3.06-3.17
Ga 0.8245 0.1755 0.2500  8 Ce 3.06-3.17

***

Entry 2:
Here is a relaxed structure of Ce3AlGa3 from the Alexandria database. Energies are from GGA-PBE.

Summary:
energy of formation from the pure elements = -480 meV per atom
total energy = -67.96 eV for the cell shown

abc: 6.0278 6.0278 14.4347
angles: 108.60 108.60 42.76
With the nearest neighbours (Å) after each atom.
Atoms (fractional coordinates):
Ce 0.0164 0.0164 0.3799  6 Ga 3.12-3.21, 3 Al 3.22-3.27
Ce 0.1083 0.1083 0.9228  7 Ga 3.12-3.26
Ce 0.2431 0.2431 0.2251  6 Ga 3.10-3.26, 2 Al 3.32
Ce 0.7569 0.7569 0.7749  6 Ga 3.10-3.26, 2 Al 3.32
Ce 0.8917 0.8917 0.0772  7 Ga 3.12-3.26
Ce 0.9836 0.9836 0.6201  6 Ga 3.12-3.21, 3 Al 3.22-3.27
Al 0.2681 0.2681 0.6056  4 Ga 2.62-2.72
Al 0.7319 0.7319 0.3944  4 Ga 2.62-2.72
Ga 0.3618 0.3618 0.4551  3 Al 2.62-2.72, 1 Ga 2.92
Ga 0.3947 0.3947 0.9243  2 Ga 2.61-2.64
Ga 0.4682 0.4682 0.7692  1 Ga 2.64, 1 Al 2.64
Ga 0.5318 0.5318 0.2308  1 Ga 2.64, 1 Al 2.64
Ga 0.6053 0.6053 0.0757  2 Ga 2.61-2.64
Ga 0.6382 0.6382 0.5449  3 Al 2.62-2.72, 1 Ga 2.92

***

Entry 3:
Here is a relaxed structure of CeAlGa2 from the Alexandria database. Energies are from GGA-PBE.

Summary:
energy of formation from the pure elements = -412 meV per atom
total energy = -17.38 eV for the cell shown

abc: 5.6948 5.6948 5.6948
angles: 45.08 45.08 45.08
With the nearest neighbours (Å) after each atom.
Atoms (fractional coordinates):
Ce 0.0000 0.0000 0.0000  6 Ga 3.04
Al 0.5000 0.5000 0.5000  6 Ga 2.66
Ga 0.2225 0.2225 0.2225  3 Al 2.66
Ga 0.7775 0.7775 0.7775  3 Al 2.66

***

Entry 4:
Here is a relaxed structure of CeAlGa3 from the Alexandria database. Energies are from GGA-PBE.

Summary:
polymorph energy (0 for the lowest one) = 131 meV per atom
energy of formation from the pure elements = -243 meV per atom
total energy = -39.95 eV for the cell shown

abc: 5.6849 2.9620 12.1663
angles: 90.00 90.00 90.00
With the nearest neighbours (Å) after each atom.
Atoms (fractional coordinates):
Ce 0.2500 0.0000 0.1967  2 Ce 2.96, 8 Ga 3.15-3.16, 4 Al 3.21
Ce 0.7500 0.0000 0.8033  2 Ce 2.96, 8 Ga 3.15-3.16, 4 Al 3.21
Al 0.2500 0.5000 0.7997  4 Ga 2.78-2.82, 2 Al 2.96
Al 0.7500 0.5000 0.2003  4 Ga 2.78-2.82, 2 Al 2.96
Ga 0.0000 0.5000 0.0000  2 Al 2.82, 4 Ga 2.84-2.96, 4 Ce 3.15
Ga 0.0049 0.5000 0.3956  2 Ga 2.54-2.79, 1 Al 2.78
Ga 0.4951 0.5000 0.3956  2 Ga 2.54-2.79, 1 Al 2.78
Ga 0.5000 0.5000 0.0000  2 Al 2.82, 4 Ga 2.84-2.96, 4 Ce 3.15
Ga 0.5049 0.5000 0.6044  2 Ga 2.54-2.79, 1 Al 2.78
Ga 0.9951 0.5000 0.6044  2 Ga 2.54-2.79, 1 Al 2.78

***

Number 1: density 6.5 g/cm3, magnetization 2.0 μB/f.u.. Number 2: density 6.5 g/cm3, magnetization 3.2 μB/f.u.. Number 3: density 6.0 g/cm3, magnetization 0.6 μB/f.u.. Number 4: density 6.1 g/cm3, magnetization 0.9 μB/f.u..